1.
5
Lattice="5.174 0.000 0.000 0.000 4.434 0.000 0.000 0.000 5.174" Properties=species:S:1:pos:R:3 comment="CaMnTcAu2 | the Alexandria database | PBE-GGA | optimized geometry" crystal_system=tetragonal ef_kj_per_mol_fu=186 pbc="T T T"
Ca 2.587 2.217 2.587
Mn 0.000 2.217 0.000
Au 0.000 0.000 2.587
Au 2.587 0.000 0.000
Tc 0.000 0.000 0.000

2.
9
Lattice="-2.393 6.238 -0.276 -6.561 1.097 0.682 0.818 0.617 6.879" Properties=species:S:1:pos:R:3 comment="InGaGeCl6 | the Alexandria database | PBE-GGA | optimized geometry" crystal_system=trigonal e_form_raw_ev_per_atom=-0.907 pbc="T T T"
In -1.575 6.855 6.604
Ga -2.576 2.754 3.575
Ge -5.560 5.198 3.710
Cl -2.139 0.771 2.277
Cl -0.479 2.660 4.758
Cl -3.205 4.663 4.902
Cl -3.547 1.312 5.244
Cl -4.641 3.051 2.370
Cl -1.444 4.064 1.899

| no. | theoretical density (g cm⁻³) |
| --- | --- |
| 1 | 8.21 |
| 2 | 2.90 |